# 1
DFT (GGA-PBE) results for a relaxed BaLi2Hg5Pb crystal.

Calculated values
The calculation puts the total energy at -13.47 eV per cell. The calculation puts the total magnetization at 0.00 μB per formula unit.

a = 5.358 Å, b = 5.358 Å, c = 8.316 Å
α = 90.00°, β = 90.00°, γ = 90.00°
Fractional coordinates of all 9 atoms:
Ba (0.000, 0.000, 0.000)
Li (0.500, 0.500, 0.333)
Li (0.500, 0.500, 0.667)
Hg (0.000, 0.500, 0.276)
Hg (0.000, 0.500, 0.724)
Hg (0.500, 0.000, 0.276)
Hg (0.500, 0.000, 0.724)
Hg (0.500, 0.500, 0.000)
Pb (0.000, 0.000, 0.500)

***

# 2
DFT (GGA-PBE) results for a relaxed BaLi2Hg2Pb crystal.

Calculated values
The calculation puts the total energy at -12.55 eV per cell. The calculation puts the total magnetization at 0.00 μB per formula unit.

a = 4.902 Å, b = 4.902 Å, c = 7.858 Å
α = 90.00°, β = 90.00°, γ = 120.00°
Fractional coordinates of all 6 atoms:
Ba (0.000, 0.000, 0.000)
Li (0.333, 0.667, 0.634)
Li (0.667, 0.333, 0.366)
Hg (0.333, 0.667, 0.265)
Hg (0.667, 0.333, 0.735)
Pb (0.000, 0.000, 0.500)

***

In states/eV/f.u., the Fermi-level density of states values for the records above are, in order, 4.22, 2.68.
In eV/atom, the energy of formation from the pure elements values for the records above are, in order, -0.2776, -0.4149.